1.
A relaxed structure of Na2GeCl6. Source: the Alexandria database, functional PBE.

E_form (uncorrected): -1227 meV per atom
N(E_F): 0.0 states/eV per cell

abc: 6.6830 7.0292 9.6374
angles: 90.00 92.69 90.00
Fractional positions:
Na: 0.9660 0.4095 0.7701
Na: 0.5340 0.9095 0.7299
Na: 0.4660 0.0905 0.2701
Na: 0.0340 0.5905 0.2299
Ge: 0.5000 0.5000 0.0000
Ge: 0.0000 0.0000 0.5000
Cl: 0.8749 0.9644 0.2721
Cl: 0.8334 0.7228 0.5611
Cl: 0.7803 0.6808 0.9465
Cl: 0.7197 0.1808 0.5535
Cl: 0.6666 0.2228 0.9389
Cl: 0.6251 0.4644 0.2279
Cl: 0.1251 0.0356 0.7279
Cl: 0.1666 0.2772 0.4389
Cl: 0.2197 0.3192 0.0535
Cl: 0.2803 0.8192 0.4465
Cl: 0.3334 0.7772 0.0611
Cl: 0.3749 0.5356 0.7721


2.
A relaxed structure of TmBePt6. Source: the Alexandria database, functional PBE.

N(E_F): 5.6 states/eV per cell
Excess energy over the best structure of this formula in the dataset: 0 meV/atom
Formation enthalpy at 0 K: -0.665 eV per atom

abc: 4.0103 4.0103 7.8152
angles: 90.00 90.00 90.00
Fractional positions:
Tm: 0.0000 0.0000 0.0000
Be: 0.0000 0.0000 0.5000
Pt: 0.5000 0.5000 0.0000
Pt: 0.5000 0.5000 0.5000
Pt: 0.5000 0.0000 0.2714
Pt: 0.5000 0.0000 0.7286
Pt: 0.0000 0.5000 0.2714
Pt: 0.0000 0.5000 0.7286


3.
A relaxed structure of Ba3PdPb4. Source: the Alexandria database, functional PBE.

N(E_F): 10.0 states/eV per cell
Formation enthalpy at 0 K: -0.500 eV per atom

abc: 6.8687 6.6447 12.6757
angles: 90.00 90.00 90.00
Fractional positions:
Pb: 0.3381 0.5000 0.8572
Pb: 0.3381 0.5000 0.1428
Pb: 0.0290 0.2512 0.0000
Pb: 0.0290 0.7488 0.0000
Pb: 0.9710 0.7512 0.5000
Pb: 0.9710 0.2488 0.5000
Pb: 0.6619 0.0000 0.3572
Pb: 0.6619 0.0000 0.6428
Ba: 0.5559 0.0000 0.0000
Ba: 0.4441 0.5000 0.5000
Ba: 0.8211 0.5000 0.7601
Ba: 0.8211 0.5000 0.2399
Ba: 0.1789 0.0000 0.7399
Ba: 0.1789 0.0000 0.2601
Pd: 0.6676 0.5000 0.0000
Pd: 0.3324 0.0000 0.5000


4.
A relaxed structure of SrSiMo2. Source: the Alexandria database, functional PBE.

E_form (uncorrected): 560 meV per atom
N(E_F): 4.3 states/eV per cell

abc: 2.9296 2.9296 9.0074
angles: 90.00 90.00 103.59
Fractional positions:
Mo: 0.0000 0.0000 0.0601
Mo: 0.0000 0.0000 0.4399
Si: 0.5000 0.5000 0.2500
Sr: 0.5000 0.5000 0.7500


5.
A relaxed structure of BaTcSbI2. Source: the Alexandria database, functional PBE.

E_form (uncorrected): 738 meV per atom
N(E_F): 3.6 states/eV per cell
Excess energy over the best structure of this formula in the dataset: 1012 meV/atom

abc: 6.6149 6.6149 7.0291
angles: 90.00 90.00 90.00
Each line ends with the local moment (μB).
Fractional positions:
I: 0.0000 0.5000 0.0000  -0.01
I: 0.5000 0.0000 0.0000  -0.01
Sb: 0.0000 0.0000 0.5000  -0.71
Ba: 0.0000 0.0000 0.0000  -0.02
Tc: 0.5000 0.5000 0.5000  4.12


6.
A relaxed structure of ErPu2MnSe5. Source: the Alexandria database, functional PBE.

E_form (uncorrected): -1312 meV per atom
N(E_F): 56.3 states/eV per cell

abc: 4.0641 8.9313 12.4011
angles: 90.00 90.00 103.15
Each line ends with the local moment (μB).
Fractional positions:
Er: 0.7945 0.5889 0.5143  0.01
Er: 0.2055 0.4111 0.0143  0.01
Pu: 0.8710 0.7419 0.8096  -5.32
Pu: 0.1089 0.2177 0.6839  5.36
Pu: 0.1290 0.2581 0.3096  -5.32
Pu: 0.8911 0.7823 0.1839  5.36
Mn: 0.5509 0.1018 0.9513  4.04
Mn: 0.4491 0.8982 0.4513  4.04
Se: 0.3664 0.7329 0.0006  0.02
Se: 0.6862 0.3724 0.8547  0.02
Se: 0.4954 0.9907 0.7709  0.01
Se: 0.2854 0.5709 0.6724  0.03
Se: 0.9517 0.9035 0.5663  0.03
Se: 0.6336 0.2671 0.5006  0.02
Se: 0.3138 0.6276 0.3547  0.02
Se: 0.5046 0.0093 0.2709  0.01
Se: 0.7146 0.4291 0.1724  0.03
Se: 0.0483 0.0965 0.0663  0.03


7.
A relaxed structure of AcAgPd3. Source: the Alexandria database, functional PBE.

N(E_F): 2.7 states/eV per cell
Excess energy over the best structure of this formula in the dataset: 505 meV/atom
Formation enthalpy at 0 K: 0.008 eV per atom

abc: 4.9714 4.9714 4.9714
angles: 90.00 90.00 90.00
Fractional positions:
Ac: 0.5000 0.0000 0.0000
Ag: 0.0000 0.5000 0.5000
Pd: 0.0000 0.0000 0.5000
Pd: 0.0000 0.5000 0.0000
Pd: 0.5000 0.5000 0.5000


8.
A relaxed structure of BaLiP2O. Source: the Alexandria database, functional PBE.

E_form (uncorrected): 523 meV per atom
N(E_F): 5.6 states/eV per cell
Excess energy over the best structure of this formula in the dataset: 757 meV/atom

abc: 6.3289 4.6483 6.3289
angles: 90.00 90.00 90.00
Each line ends with the local moment (μB).
Fractional positions:
P: 0.0000 0.0000 0.5000  0.92
P: 0.5000 0.0000 0.0000  0.79
Ba: 0.0000 0.0000 0.0000  0.07
O: 0.0000 0.5000 0.0000  0.12
Li: 0.5000 0.5000 0.5000  0.00